Record 1
# BaB3F PBE-GGA relaxed
data_BaB3F
_chemical_formula_sum 'Ba1 B3 F1'
_symmetry_space_group_name_H-M 'P m -3 m'
_symmetry_Int_Tables_number 221
_symmetry_space_group_name_Hall '-P 4 2 3'
_cell_length_a 5.442
_cell_length_b 5.442
_cell_length_c 5.442
_cell_angle_alpha 90.00
_cell_angle_beta 90.00
_cell_angle_gamma 90.00
loop_
_atom_site_label
_atom_site_fract_x
_atom_site_fract_y
_atom_site_fract_z
Ba1 0.000 0.000 0.000
B1 0.000 0.000 0.500
F1 0.500 0.500 0.500
# Crystal system ... cubic
# Formation energy from raw total energies ... 2.622 eV per atom
# Energy above the most stable polymorph in this dataset ... 1.051 eV/atom



Record 2
# LuSiIr PBE-GGA relaxed
data_LuSiIr
_chemical_formula_sum 'Lu4 Si4 Ir4'
_symmetry_space_group_name_H-M 'P n m a'
_symmetry_Int_Tables_number 62
_cell_length_a 6.706
_cell_length_b 4.173
_cell_length_c 7.418
_cell_angle_alpha 90.00
_cell_angle_beta 90.00
_cell_angle_gamma 90.00
loop_
_symmetry_equiv_pos_as_xyz
'x,y,z'
'-x,-y,-z'
'-x+1/2,-y,z+1/2'
'x+1/2,y,-z+1/2'
'x+1/2,-y+1/2,-z+1/2'
'-x+1/2,y+1/2,z+1/2'
'-x,y+1/2,-z'
'x,-y+1/2,z'
loop_
_atom_site_label
_atom_site_fract_x
_atom_site_fract_y
_atom_site_fract_z
Lu1 0.006 0.250 0.187
Si1 0.206 0.750 0.386
Ir1 0.159 0.250 0.565
# Crystal system ... orthorhombic
# Formation energy from raw total energies ... -1.111 eV per atom



Record 3
# NpPa2Bi PBE-GGA relaxed
data_NpPa2Bi
_chemical_formula_sum 'Np4 Pa8 Bi4'
_symmetry_space_group_name_H-M 'F m -3 m'
_symmetry_Int_Tables_number 225
_symmetry_space_group_name_Hall '-F 4 2 3'
_cell_length_a 7.461
_cell_length_b 7.461
_cell_length_c 7.461
_cell_angle_alpha 90.00
_cell_angle_beta 90.00
_cell_angle_gamma 90.00
loop_
_atom_site_label
_atom_site_fract_x
_atom_site_fract_y
_atom_site_fract_z
Np1 0.000 0.000 0.000
Pa1 0.250 0.250 0.250
Bi1 0.000 0.000 0.500
# Crystal system ... cubic
# ΔE_f ... 0.27 eV per atom
# Energy above the most stable polymorph in this dataset ... 0.206 eV/atom



Record 4
# CaCd4Fe PBE-GGA relaxed
data_CaCd4Fe
_chemical_formula_sum 'Ca4 Cd16 Fe4'
_symmetry_space_group_name_H-M 'F -4 3 m'
_symmetry_Int_Tables_number 216
_symmetry_space_group_name_Hall 'F -4 2 3'
_cell_length_a 8.110
_cell_length_b 8.110
_cell_length_c 8.110
_cell_angle_alpha 90.00
_cell_angle_beta 90.00
_cell_angle_gamma 90.00
loop_
_atom_site_label
_atom_site_fract_x
_atom_site_fract_y
_atom_site_fract_z
Ca1 0.000 0.000 0.000
Cd1 0.124 0.124 0.624
Fe1 0.250 0.250 0.250
# Crystal system ... cubic
# ΔE_f ... 0.18 eV per atom



What did the third record say?
# NpPa2Bi PBE-GGA relaxed
data_NpPa2Bi
_chemical_formula_sum 'Np4 Pa8 Bi4'
_symmetry_space_group_name_H-M 'F m -3 m'
_symmetry_Int_Tables_number 225
_symmetry_space_group_name_Hall '-F 4 2 3'
_cell_length_a 7.461
_cell_length_b 7.461
_cell_length_c 7.461
_cell_angle_alpha 90.00
_cell_angle_beta 90.00
_cell_angle_gamma 90.00
loop_
_atom_site_label
_atom_site_fract_x
_atom_site_fract_y
_atom_site_fract_z
Np1 0.000 0.000 0.000
Pa1 0.250 0.250 0.250
Bi1 0.000 0.000 0.500
# Crystal system ... cubic
# ΔE_f ... 0.27 eV per atom
# Energy above the most stable polymorph in this dataset ... 0.206 eV/atom